<i>
## LaPmNiRh (GGA-PBE)

Data for an optimized crystal structure of LaPmNiRh.

Structure (CIF):
```
data_LaPmNiRh
_chemical_formula_sum 'La4 Pm4 Ni4 Rh4'
_symmetry_space_group_name_H-M 'F -4 3 m'
_symmetry_Int_Tables_number 216
_symmetry_space_group_name_Hall 'F -4 2 3'
_cell_length_a 7.073
_cell_length_b 7.073
_cell_length_c 7.073
_cell_angle_alpha 90.00
_cell_angle_beta 90.00
_cell_angle_gamma 90.00
loop_
_atom_site_label
_atom_site_type_symbol
_atom_site_fract_x
_atom_site_fract_y
_atom_site_fract_z
_atom_site_occupancy
La1 La 0.000 0.000 0.000 1
Pm1 Pm 0.000 0.000 0.500 1
Ni1 Ni 0.250 0.250 0.250 1
Rh1 Rh 0.250 0.250 0.750 1
```

Summary:
The density of states at the Fermi level is 0.60 states/eV per atom. The volume comes out at 22.12 A^3/atom.



<ii>
## LaPmNiRh (GGA-PBE)

Data for an optimized crystal structure of LaPmNiRh.

Structure (CIF):
```
data_LaPmNiRh
_chemical_formula_sum 'La2 Pm2 Ni2 Rh2'
_symmetry_space_group_name_H-M 'A m m 2'
_symmetry_Int_Tables_number 38
_cell_length_a 4.221
_cell_length_b 3.960
_cell_length_c 10.941
_cell_angle_alpha 90.00
_cell_angle_beta 90.00
_cell_angle_gamma 90.00
loop_
_symmetry_equiv_pos_as_xyz
'x,y,z'
'-x,-y,z'
'-x,y,z'
'x,-y,z'
'x,y+1/2,z+1/2'
'-x,-y+1/2,z+1/2'
'-x,y+1/2,z+1/2'
'x,-y+1/2,z+1/2'
loop_
_atom_site_label
_atom_site_type_symbol
_atom_site_fract_x
_atom_site_fract_y
_atom_site_fract_z
_atom_site_occupancy
La1 La 0.000 0.000 0.000 1
Pm1 Pm 0.500 0.000 0.277 1
Ni1 Ni 0.500 0.000 0.561 1
Rh1 Rh 0.000 0.000 0.723 1
```

Summary:
The density of states at the Fermi level is 0.66 states/eV per atom. The volume comes out at 22.86 A^3/atom.



Bottom line: <ii>, by a margin of 0.074 eV/atom.



<i>
## La2PrNi (GGA-PBE)

Data for an optimized crystal structure of La2PrNi.

Structure (CIF):
```
data_La2PrNi
_chemical_formula_sum 'La4 Pr2 Ni2'
_symmetry_space_group_name_H-M 'P 1 21/m 1'
_symmetry_Int_Tables_number 11
_cell_length_a 5.127
_cell_length_b 7.529
_cell_length_c 6.641
_cell_angle_alpha 90.00
_cell_angle_beta 112.71
_cell_angle_gamma 90.00
loop_
_symmetry_equiv_pos_as_xyz
'x,y,z'
'-x,-y,-z'
'-x,y+1/2,-z'
'x,-y+1/2,z'
loop_
_atom_site_label
_atom_site_type_symbol
_atom_site_fract_x
_atom_site_fract_y
_atom_site_fract_z
_atom_site_occupancy
La1 La 0.151 0.028 0.301 1
Pr1 Pr 0.465 0.250 0.931 1
Ni1 Ni 0.303 0.750 0.608 1
```

Summary:
The density of states at the Fermi level is 1.07 states/eV per atom. The volume comes out at 29.56 A^3/atom.



<ii>
## La2PrNi (GGA-PBE)

Data for an optimized crystal structure of La2PrNi.

Structure (CIF):
```
data_La2PrNi
_chemical_formula_sum 'La6 Pr3 Ni3'
_symmetry_space_group_name_H-M 'R -3 m'
_symmetry_Int_Tables_number 166
_symmetry_space_group_name_Hall '-R 3 2"'
_cell_length_a 3.7915
_cell_length_b 3.7915
_cell_length_c 31.7468
_cell_angle_alpha 90.00
_cell_angle_beta 90.00
_cell_angle_gamma 120.00
loop_
_atom_site_label
_atom_site_type_symbol
_atom_site_fract_x
_atom_site_fract_y
_atom_site_fract_z
_atom_site_occupancy
La1 La 0.0000 0.0000 0.1116 1
Pr1 Pr 0.0000 0.0000 0.0000 1
Ni1 Ni 0.0000 0.0000 0.5000 1
```

Summary:
The density of states at the Fermi level is 1.57 states/eV per atom. The volume comes out at 32.94 A^3/atom.



<iii>
## La2PrNi (GGA-PBE)

Data for an optimized crystal structure of La2PrNi.

Structure (CIF):
```
data_La2PrNi
_chemical_formula_sum 'La2 Pr1 Ni1'
_symmetry_space_group_name_H-M 'P 4/m m m'
_symmetry_Int_Tables_number 123
_symmetry_space_group_name_Hall '-P 4 2'
_cell_length_a 3.616
_cell_length_b 3.616
_cell_length_c 9.104
_cell_angle_alpha 90.00
_cell_angle_beta 90.00
_cell_angle_gamma 90.00
loop_
_atom_site_label
_atom_site_type_symbol
_atom_site_fract_x
_atom_site_fract_y
_atom_site_fract_z
_atom_site_occupancy
La1 La 0.000 0.000 0.183 1
Pr1 Pr 0.500 0.500 0.500 1
Ni1 Ni 0.500 0.500 0.000 1
```

Summary:
The density of states at the Fermi level is 1.73 states/eV per atom. The volume comes out at 29.76 A^3/atom.



<iv>
## La2PrNi (GGA-PBE)

Data for an optimized crystal structure of La2PrNi.

Structure (CIF):
```
data_La2PrNi
_chemical_formula_sum 'La8 Pr4 Ni4'
_symmetry_space_group_name_H-M 'P n m a'
_symmetry_Int_Tables_number 62
_cell_length_a 7.177
_cell_length_b 10.212
_cell_length_c 6.559
_cell_angle_alpha 90.00
_cell_angle_beta 90.00
_cell_angle_gamma 90.00
loop_
_symmetry_equiv_pos_as_xyz
'x,y,z'
'-x,-y,-z'
'-x+1/2,-y,z+1/2'
'x+1/2,y,-z+1/2'
'x+1/2,-y+1/2,-z+1/2'
'-x+1/2,y+1/2,z+1/2'
'-x,y+1/2,-z'
'x,-y+1/2,z'
loop_
_atom_site_label
_atom_site_type_symbol
_atom_site_fract_x
_atom_site_fract_y
_atom_site_fract_z
_atom_site_occupancy
La1 La 0.174 0.068 0.173 1
Pr1 Pr 0.033 0.250 0.651 1
Ni1 Ni 0.115 0.750 0.918 1
```

Summary:
The density of states at the Fermi level is 1.27 states/eV per atom. The volume comes out at 30.05 A^3/atom.



Bottom line: <iv>, by a margin of 0.025 eV/atom.



<i>
## LaPr2Ni2 (GGA-PBE)

Data for an optimized crystal structure of LaPr2Ni2.

Structure (CIF):
```
data_LaPr2Ni2
_chemical_formula_sum 'La2 Pr4 Ni4'
_symmetry_space_group_name_H-M 'C 1 2/m 1'
_symmetry_Int_Tables_number 12
_cell_length_a 11.636
_cell_length_b 3.921
_cell_length_c 6.015
_cell_angle_alpha 90.00
_cell_angle_beta 107.34
_cell_angle_gamma 90.00
loop_
_symmetry_equiv_pos_as_xyz
'x,y,z'
'-x,-y,-z'
'-x,y,-z'
'x,-y,z'
'x+1/2,y+1/2,z'
'-x+1/2,-y+1/2,-z'
'-x+1/2,y+1/2,-z'
'x+1/2,-y+1/2,z'
loop_
_atom_site_label
_atom_site_type_symbol
_atom_site_fract_x
_atom_site_fract_y
_atom_site_fract_z
_atom_site_occupancy
La1 La 0.000 0.000 0.000 1
Pr1 Pr 0.154 0.500 0.604 1
Ni1 Ni 0.211 0.500 0.102 1
```

Summary:
The density of states at the Fermi level is 1.36 states/eV per atom. The volume comes out at 26.20 A^3/atom.



<ii>
## LaPr2Ni2 (GGA-PBE)

Data for an optimized crystal structure of LaPr2Ni2.

Structure (CIF):
```
data_LaPr2Ni2
_chemical_formula_sum 'La2 Pr4 Ni4'
_symmetry_space_group_name_H-M 'C m m m'
_symmetry_Int_Tables_number 65
_symmetry_space_group_name_Hall '-C 2 2'
_cell_length_a 4.572
_cell_length_b 14.220
_cell_length_c 3.915
_cell_angle_alpha 90.00
_cell_angle_beta 90.00
_cell_angle_gamma 90.00
loop_
_atom_site_label
_atom_site_type_symbol
_atom_site_fract_x
_atom_site_fract_y
_atom_site_fract_z
_atom_site_occupancy
La1 La 0.000 0.000 0.000 1
Pr1 Pr 0.000 0.349 0.500 1
Ni1 Ni 0.000 0.200 0.000 1
```

Summary:
The density of states at the Fermi level is 0.92 states/eV per atom. The volume comes out at 25.45 A^3/atom.



Bottom line: <ii>, by a margin of 0.080 eV/atom.